A relaxed MgSb2Ru2 crystal, computed with PBE-GGA.

As for the total energy: -5.721 eV per atom. The space group is P4/mbm. The density of states at the Fermi level comes out at 6.4 states/eV per cell.

Cell lengths 7.5676, 7.5676, 3.2489 Å; angles 90.00, 90.00, 90.00 degrees
Closest atoms and distances in Å follow each position.
Fractional positions:
Mg 0.0000 0.0000 0.0000  4 Ru 2.92, 2 Mg 3.25
Mg 0.5000 0.5000 0.0000  4 Ru 2.92, 2 Mg 3.25
Sb 0.1557 0.3443 0.5000  6 Ru 2.72-2.77
Sb 0.3443 0.8443 0.5000  6 Ru 2.72-2.77
Sb 0.6557 0.1557 0.5000  6 Ru 2.72-2.77
Sb 0.8443 0.6557 0.5000  6 Ru 2.72-2.77
Ru 0.1405 0.6405 0.0000  6 Sb 2.72-2.77, 2 Mg 2.92, 1 Ru 3.01
Ru 0.3595 0.1405 0.0000  6 Sb 2.72-2.77, 2 Mg 2.92, 1 Ru 3.01
Ru 0.6405 0.8595 0.0000  6 Sb 2.72-2.77, 2 Mg 2.92, 1 Ru 3.01
Ru 0.8595 0.3595 0.0000  6 Sb 2.72-2.77, 2 Mg 2.92, 1 Ru 3.01